No. 1
VASP calculation (PBE-GGA) on KTaW3 after structural relaxation.

The structure in POSCAR format:
```
KTaW3
1.0
4.941 0.000 0.000
0.000 4.941 0.000
0.000 0.000 4.941
K Ta W
1 1 3
Cartesian
0.000 0.000 0.000
2.470 2.470 2.470
0.000 2.470 2.470
2.470 0.000 2.470
2.470 2.470 0.000
```

Values from the calculation:
**Space-group type**: No. 221
**Calculated volume**: 121 Å³ per cell
**Uncorrected energy**: -8.02 eV per atom
**Formation energy from the elements**: 225.6 kJ/mol of atoms
**Density of states at the Fermi level**: 4.80 states/eV per cell

---

No. 2
VASP calculation (PBE-GGA) on KTa2W after structural relaxation.

The structure in POSCAR format:
```
KTa2W
1.0
1.445 0.834 11.459
-1.445 0.834 11.459
0.000 -1.669 11.459
K Ta W
1 2 1
Cartesian
0.000 0.000 0.000
0.000 0.000 17.325
0.000 0.000 26.214
0.000 0.000 8.330
```

Values from the calculation:
**Space-group type**: No. 160
**Calculated volume**: 83 Å³ per cell
**Uncorrected energy**: -8.56 eV per atom
**Formation energy from the elements**: 84.6 kJ/mol of atoms
**Density of states at the Fermi level**: 5.00 states/eV per cell

---

No. 3
VASP calculation (PBE-GGA) on KTa2W after structural relaxation.

The structure in POSCAR format:
```
KTa2W
1.0
-2.493 2.493 8.959
2.493 -2.493 8.959
2.493 2.493 -8.959
K Ta W
2 4 2
Cartesian
0.000 0.000 0.000
0.000 2.493 4.480
1.247 -0.518 6.719
1.975 1.247 2.240
1.247 3.011 -2.240
0.518 1.247 11.199
2.493 0.000 4.480
0.000 0.000 8.959
```

Values from the calculation:
**Space-group type**: No. 122
**Calculated volume**: 223 Å³ per cell
**Uncorrected energy**: -7.40 eV per atom
**Formation energy from the elements**: 196.8 kJ/mol of atoms
**Density of states at the Fermi level**: 4.36 states/eV per cell

---

No. 4
VASP calculation (PBE-GGA) on KTa2W after structural relaxation.

The structure in POSCAR format:
```
KTa2W
1.0
4.480 -1.370 0.000
4.480 1.370 0.000
-0.118 0.000 8.103
K Ta W
1 2 1
Cartesian
0.000 0.000 0.000
2.098 0.000 5.360
6.745 0.000 2.743
4.422 0.000 4.051
```

Values from the calculation:
**Space-group type**: No. 12
**Calculated volume**: 99 Å³ per cell
**Uncorrected energy**: -8.45 eV per atom
**Formation energy from the elements**: 95.5 kJ/mol of atoms
**Density of states at the Fermi level**: 3.42 states/eV per cell

---

No. 5
VASP calculation (PBE-GGA) on KTa2W after structural relaxation.

The structure in POSCAR format:
```
KTa2W
1.0
4.771 -1.355 0.000
4.771 1.355 0.000
-0.077 0.000 7.617
K Ta W
1 2 1
Cartesian
0.000 0.000 0.000
4.711 0.000 3.926
7.197 0.000 2.634
2.270 0.000 5.087
```

Values from the calculation:
**Space-group type**: No. 8
**Calculated volume**: 98 Å³ per cell
**Uncorrected energy**: -8.38 eV per atom
**Formation energy from the elements**: 102.3 kJ/mol of atoms
**Density of states at the Fermi level**: 3.40 states/eV per cell

---

No. 6
VASP calculation (PBE-GGA) on K2TaW after structural relaxation.

The structure in POSCAR format:
```
K2TaW
1.0
-1.961 1.961 6.346
1.961 -1.961 6.346
1.961 1.961 -6.346
K Ta W
2 1 1
Cartesian
1.961 0.000 3.173
0.000 1.961 3.173
0.000 0.000 0.000
0.000 0.000 6.346
```

Values from the calculation:
**Space-group type**: No. 139
**Calculated volume**: 98 Å³ per cell
**Uncorrected energy**: -5.15 eV per atom
**Formation energy from the elements**: 154.5 kJ/mol of atoms
**Density of states at the Fermi level**: 4.79 states/eV per cell